This record from the Alexandria database describes Fe4CuPt5 after structural relaxation. The functional is PBE.

a = 2.741 Å, b = 2.741 Å, c = 18.675 Å
α = 90.00°, β = 90.00°, γ = 90.00°
Each line ends with the local moment (μB).
Atoms (fractional coordinates):
1 Fe 0.000 0.000 0.198  2.98
2 Fe 0.000 0.000 0.399  2.98
3 Fe 0.000 0.000 0.601  2.98
4 Fe 0.000 0.000 0.802  2.98
5 Cu 0.000 0.000 0.000  0.03
6 Pt 0.500 0.500 0.100  0.24
7 Pt 0.500 0.500 0.299  0.34
8 Pt 0.500 0.500 0.500  0.34
9 Pt 0.500 0.500 0.701  0.34
10 Pt 0.500 0.500 0.900  0.24

## Properties
Energy of formation from the pure elements in eV per atom: -0.24
Calculated total energy in eV/cell: -70.54



This record from the Alexandria database describes Pr4PuN4 after structural relaxation. The functional is PBE.

a = 5.875 Å, b = 5.875 Å, c = 7.067 Å
α = 114.56°, β = 114.56°, γ = 90.00°
Each line ends with the local moment (μB).
Atoms (fractional coordinates):
1 Pr 0.500 0.000 0.000  0.33
2 Pr 0.000 0.500 0.000  0.33
3 Pr 0.280 0.280 0.560  0.17
4 Pr 0.720 0.720 0.440  0.17
5 Pu 0.000 0.000 0.000  5.49
6 N 0.644 0.644 0.750  -0.03
7 N 0.356 0.894 0.250  -0.03
8 N 0.106 0.106 0.750  -0.03
9 N 0.894 0.356 0.250  -0.03

## Properties
Raw formation energy in eV/atom: -0.677
Calculated total energy in eV/cell: -72.84
Relative energy among the computed polymorphs in eV/atom: 0.444



This record from the Alexandria database describes CdFe2Cu2 after structural relaxation. The functional is PBE.

a = 3.663 Å, b = 3.663 Å, c = 6.096 Å
α = 72.52°, β = 72.52°, γ = 90.00°
Each line ends with the local moment (μB).
Atoms (fractional coordinates):
1 Fe 0.400 0.400 0.200  2.48
2 Fe 0.600 0.600 0.800  2.48
3 Cu 0.750 0.250 0.500  0.09
4 Cu 0.250 0.750 0.500  0.09
5 Cd 0.000 0.000 0.000  -0.06

## Properties
Energy of formation from the pure elements in eV per atom: 0.48
Calculated total energy in eV/cell: -23.65
Relative energy among the computed polymorphs in eV/atom: 0.170



This record from the Alexandria database describes LaBAsBr2 after structural relaxation. The functional is PBE.

a = 4.766 Å, b = 4.766 Å, c = 4.858 Å
α = 90.00°, β = 90.00°, γ = 90.00°
Atoms (fractional coordinates):
1 As 0.000 0.000 0.500
2 B 0.000 0.000 0.000
3 Br 0.000 0.500 0.000
4 Br 0.500 0.000 0.000
5 La 0.500 0.500 0.500

## Properties
Raw formation energy in eV/atom: -0.189
Calculated total energy in eV/cell: -20.55
Relative energy among the computed polymorphs in eV/atom: 0.000



This record from the Alexandria database describes YEr5Tm2Zr after structural relaxation. The functional is PBE.

a = 5.559 Å, b = 11.101 Å, c = 9.222 Å
α = 90.00°, β = 90.00°, γ = 104.50°
Atoms (fractional coordinates):
1 Y 0.599 0.198 0.927
2 Y 0.401 0.802 0.427
3 Er 0.396 0.791 0.046
4 Er 0.732 0.464 0.828
5 Er 0.470 0.941 0.748
6 Er 0.304 0.608 0.714
7 Er 0.986 0.972 0.512
8 Er 0.604 0.209 0.546
9 Er 0.268 0.536 0.328
10 Er 0.530 0.059 0.248
11 Er 0.696 0.392 0.214
12 Er 0.014 0.028 0.012
13 Tm 0.885 0.771 0.819
14 Tm 0.135 0.270 0.712
15 Tm 0.115 0.229 0.319
16 Tm 0.865 0.730 0.212
17 Zr 0.816 0.632 0.518
18 Zr 0.184 0.368 0.018

## Properties
Energy of formation from the pure elements in eV per atom: 0.18
Calculated total energy in eV/cell: -90.36



This record from the Alexandria database describes DyYCo10 after structural relaxation. The functional is PBE.

a = 3.943 Å, b = 4.922 Å, c = 8.534 Å
α = 90.00°, β = 90.00°, γ = 90.00°
Each line ends with the local moment (μB).
Atoms (fractional coordinates):
1 Dy 0.000 0.000 0.000  -0.37
2 Y 0.000 0.500 0.500  -0.26
3 Co 0.000 0.000 0.331  1.51
4 Co 0.000 0.500 0.835  1.51
5 Co 0.000 0.500 0.165  1.51
6 Co 0.000 0.000 0.669  1.51
7 Co 0.500 0.000 0.500  1.55
8 Co 0.500 0.500 0.000  1.55
9 Co 0.500 0.250 0.250  1.54
10 Co 0.500 0.750 0.750  1.54
11 Co 0.500 0.750 0.250  1.54
12 Co 0.500 0.250 0.750  1.54

## Properties
Energy of formation from the pure elements in eV per atom: -0.11
Calculated total energy in eV/cell: -83.42



This record from the Alexandria database describes Pr5DyEr2Sc after structural relaxation. The functional is PBE.

a = 5.397 Å, b = 11.279 Å, c = 10.325 Å
α = 90.00°, β = 90.00°, γ = 103.84°
Atoms (fractional coordinates):
1 Pr 0.373 0.745 0.008
2 Pr 0.722 0.443 0.821
3 Pr 0.500 0.000 0.758
4 Pr 0.279 0.559 0.697
5 Pr 0.001 0.002 0.508
6 Pr 0.627 0.255 0.508
7 Pr 0.278 0.557 0.321
8 Pr 0.500 0.000 0.258
9 Pr 0.721 0.441 0.197
10 Pr 0.999 0.998 0.008
11 Dy 0.601 0.203 0.008
12 Dy 0.399 0.797 0.508
13 Er 0.885 0.770 0.754
14 Er 0.116 0.231 0.762
15 Er 0.115 0.230 0.254
16 Er 0.884 0.769 0.262
17 Sc 0.788 0.576 0.509
18 Sc 0.212 0.424 0.009

## Properties
Energy of formation from the pure elements in eV per atom: 0.13
Calculated total energy in eV/cell: -85.66



This record from the Alexandria database describes CdCoAu2 after structural relaxation. The functional is PBE.

a = 3.923 Å, b = 3.923 Å, c = 10.024 Å
α = 78.72°, β = 78.72°, γ = 90.00°
Each line ends with the local moment (μB).
Atoms (fractional coordinates):
1 Co 0.500 0.500 0.000  1.68
2 Co 0.250 0.750 0.500  1.67
3 Au 0.617 0.125 0.250  0.00
4 Au 0.133 0.625 0.250  0.00
5 Au 0.375 0.383 0.750  0.00
6 Au 0.875 0.867 0.750  0.00
7 Cd 0.000 0.000 0.000  -0.04
8 Cd 0.750 0.250 0.500  -0.03

## Properties
Energy of formation from the pure elements in eV per atom: 0.36
Calculated total energy in eV/cell: -26.27



This record from the Alexandria database describes Pb2Br after structural relaxation. The functional is PBE.

a = 11.298 Å, b = 11.298 Å, c = 11.298 Å
α = 161.44°, β = 153.59°, γ = 32.47°
Atoms (fractional coordinates):
1 Pb 0.787 0.037 0.750
2 Pb 0.213 0.963 0.250
3 Pb 0.933 0.183 0.750
4 Pb 0.067 0.817 0.250
5 Br 0.415 0.665 0.750
6 Br 0.585 0.335 0.250

## Properties
Raw formation energy in eV/atom: -0.226
Calculated total energy in eV/cell: -19.53
Relative energy among the computed polymorphs in eV/atom: 0.049



This record from the Alexandria database describes Rb2BaAu after structural relaxation. The functional is PBE.

a = 4.603 Å, b = 4.603 Å, c = 13.464 Å
α = 80.16°, β = 80.16°, γ = 60.00°
Each line ends with the local moment (μB).
Atoms (fractional coordinates):
1 Au 0.500 0.500 0.500  0.01
2 Ba 0.000 0.000 0.000  0.10
3 Rb 0.111 0.111 0.666  0.01
4 Rb 0.889 0.889 0.334  0.01

## Properties
Energy of formation from the pure elements in eV per atom: -0.02
Calculated total energy in eV/cell: -7.21
Relative energy among the computed polymorphs in eV/atom: 0.306



This record from the Alexandria database describes Sm2BeIr after structural relaxation. The functional is PBE.

a = 4.011 Å, b = 4.011 Å, c = 7.407 Å
α = 74.39°, β = 74.39°, γ = 59.91°
Atoms (fractional coordinates):
1 Sm 0.037 0.037 0.890
2 Sm 0.213 0.213 0.359
3 Be 0.792 0.792 0.625
4 Ir 0.458 0.458 0.626

## Properties
Energy of formation from the pure elements in eV per atom: -0.47
Calculated total energy in eV/cell: -23.91



This record from the Alexandria database describes Tb3Ho3Si4 after structural relaxation. The functional is PBE.

a = 4.227 Å, b = 7.473 Å, c = 7.473 Å
α = 89.88°, β = 90.00°, γ = 90.00°
Atoms (fractional coordinates):
1 Tb 0.500 0.824 0.176
2 Tb 0.500 0.323 0.324
3 Tb 0.500 0.676 0.677
4 Ho 0.000 0.500 0.000
5 Ho 0.000 0.000 0.500
6 Ho 0.500 0.176 0.824
7 Si 0.000 0.616 0.384
8 Si 0.000 0.382 0.618
9 Si 0.000 0.885 0.883
10 Si 0.000 0.117 0.115

## Properties
Raw formation energy in eV/atom: -0.711
Calculated total energy in eV/cell: -56.42



This record from the Alexandria database describes TiNbTlV after structural relaxation. The functional is PBE.

a = 4.647 Å, b = 4.647 Å, c = 4.647 Å
α = 60.00°, β = 60.00°, γ = 60.00°
Each line ends with the local moment (μB).
Atoms (fractional coordinates):
1 Tl 0.750 0.750 0.750  0.00
2 Ti 0.000 0.000 0.000  -0.52
3 Nb 0.250 0.250 0.250  -0.29
4 V 0.500 0.500 0.500  1.62

## Properties
Energy of formation from the pure elements in eV per atom: 0.17
Calculated total energy in eV/cell: -28.77



This record from the Alexandria database describes Pr2NdSc3 after structural relaxation. The functional is PBE.

a = 6.785 Å, b = 6.785 Å, c = 9.368 Å
α = 90.00°, β = 90.00°, γ = 120.00°
Atoms (fractional coordinates):
1 Pr 0.000 0.000 0.000
2 Pr 0.667 0.333 0.431
3 Pr 0.000 0.000 0.500
4 Pr 0.333 0.667 0.569
5 Nd 0.333 0.667 0.924
6 Nd 0.667 0.333 0.076
7 Sc 0.188 0.376 0.246
8 Sc 0.624 0.812 0.246
9 Sc 0.188 0.812 0.246
10 Sc 0.812 0.624 0.754
11 Sc 0.812 0.188 0.754
12 Sc 0.376 0.188 0.754

## Properties
Energy of formation from the pure elements in eV per atom: 0.26
Calculated total energy in eV/cell: -63.47



This record from the Alexandria database describes Sr3Al4Au2 after structural relaxation. The functional is PBE.

a = 4.434 Å, b = 6.337 Å, c = 9.514 Å
α = 107.34°, β = 90.00°, γ = 110.48°
Atoms (fractional coordinates):
1 Sr 0.601 0.202 0.691
2 Sr 0.000 0.000 0.000
3 Sr 0.399 0.798 0.309
4 Al 0.729 0.458 0.062
5 Al 0.271 0.542 0.938
6 Al 0.848 0.696 0.568
7 Al 0.152 0.304 0.432
8 Au 0.677 0.353 0.304
9 Au 0.323 0.647 0.696

## Properties
Energy of formation from the pure elements in eV per atom: -0.47
Calculated total energy in eV/cell: -30.79
Relative energy among the computed polymorphs in eV/atom: 0.000



This record from the Alexandria database describes ZnFeSeN2 after structural relaxation. The functional is PBE.

a = 3.680 Å, b = 3.680 Å, c = 5.569 Å
α = 90.00°, β = 90.00°, γ = 90.00°
Each line ends with the local moment (μB).
Atoms (fractional coordinates):
1 Zn 0.000 0.000 0.000  0.00
2 Fe 0.500 0.500 0.500  -0.03
3 Se 0.000 0.000 0.500  0.01
4 N 0.000 0.500 0.000  -0.08
5 N 0.500 0.000 0.000  -0.08

## Properties
Raw formation energy in eV/atom: 1.902
Calculated total energy in eV/cell: -20.36
Relative energy among the computed polymorphs in eV/atom: 1.278



This record from the Alexandria database describes RbAg4Pd3F12 after structural relaxation. The functional is PBE.

a = 7.513 Å, b = 7.513 Å, c = 7.513 Å
α = 109.47°, β = 109.47°, γ = 109.47°
Atoms (fractional coordinates):
1 Rb 0.000 0.000 0.000
2 Ag 0.500 0.000 0.000
3 Ag 0.500 0.500 0.500
4 Ag 0.000 0.500 0.000
5 Ag 0.000 0.000 0.500
6 Pd 0.000 0.500 0.500
7 Pd 0.500 0.500 0.000
8 Pd 0.500 0.000 0.500
9 F 0.329 0.843 0.172
10 F 0.671 0.157 0.828
11 F 0.671 0.843 0.514
12 F 0.828 0.671 0.157
13 F 0.843 0.172 0.329
14 F 0.157 0.486 0.329
15 F 0.486 0.329 0.157
16 F 0.157 0.828 0.671
17 F 0.329 0.157 0.486
18 F 0.172 0.329 0.843
19 F 0.843 0.514 0.671
20 F 0.514 0.671 0.843

## Properties
Raw formation energy in eV/atom: -1.320
Calculated total energy in eV/cell: -76.80



This record from the Alexandria database describes NdGaHg after structural relaxation. The functional is PBE.

a = 3.619 Å, b = 5.131 Å, c = 8.894 Å
α = 90.00°, β = 101.74°, γ = 90.00°
Atoms (fractional coordinates):
1 Nd 0.656 0.750 0.313
2 Nd 0.344 0.250 0.687
3 Hg 0.539 0.250 0.078
4 Hg 0.461 0.750 0.922
5 Ga 0.829 0.750 0.658
6 Ga 0.171 0.250 0.342

## Properties
Energy of formation from the pure elements in eV per atom: -0.27
Calculated total energy in eV/cell: -17.83
Relative energy among the computed polymorphs in eV/atom: 0.258



This record from the Alexandria database describes NaLa2Ru after structural relaxation. The functional is PBE.

a = 4.145 Å, b = 4.145 Å, c = 9.781 Å
α = 77.77°, β = 77.77°, γ = 60.00°
Atoms (fractional coordinates):
1 Na 0.501 0.501 0.498
2 La 0.053 0.053 0.841
3 La 0.280 0.280 0.160
4 Ru 0.666 0.666 0.001

## Properties
Energy of formation from the pure elements in eV per atom: -0.16
Calculated total energy in eV/cell: -21.10



This record from the Alexandria database describes ZrTl2Pb after structural relaxation. The functional is PBE.

a = 5.375 Å, b = 5.375 Å, c = 5.375 Å
α = 60.00°, β = 60.00°, γ = 60.00°
Each line ends with the local moment (μB).
Atoms (fractional coordinates):
1 Pb 0.500 0.500 0.500  0.01
2 Tl 0.250 0.250 0.250  0.04
3 Tl 0.750 0.750 0.750  0.04
4 Zr 0.000 0.000 0.000  0.90

## Properties
Energy of formation from the pure elements in eV per atom: 0.34
Calculated total energy in eV/cell: -15.63
Relative energy among the computed polymorphs in eV/atom: 0.312



Number 1: M_tot 1.3382 μB per atom, theoretical density 14.94 g/cm³. Number 2: M_tot 0.8577 μB per atom, theoretical density 7.27 g/cm³. Number 3: M_tot 1.0048 μB per atom, theoretical density 7.88 g/cm³. Number 4: M_tot 0.0000 μB per atom, theoretical density 5.79 g/cm³. Number 5: M_tot 0.0000 μB per atom, theoretical density 8.16 g/cm³. Number 6: M_tot 1.1896 μB per atom, theoretical density 8.43 g/cm³. Number 7: M_tot 0.0000 μB per atom, theoretical density 6.78 g/cm³. Number 8: M_tot 0.3961 μB per atom, theoretical density 12.66 g/cm³. Number 9: M_tot 0.0000 μB per atom, theoretical density 8.05 g/cm³. Number 10: M_tot 0.1958 μB per atom, theoretical density 3.46 g/cm³. Number 11: M_tot 0.0000 μB per atom, theoretical density 8.50 g/cm³. Number 12: M_tot 0.0000 μB per atom, theoretical density 7.63 g/cm³. Number 13: M_tot 0.2425 μB per atom, theoretical density 9.27 g/cm³. Number 14: M_tot 0.0000 μB per atom, theoretical density 4.99 g/cm³. Number 15: M_tot 0.0000 μB per atom, theoretical density 5.35 g/cm³. Number 16: M_tot 0.0461 μB per atom, theoretical density 5.03 g/cm³. Number 17: M_tot 0.0000 μB per atom, theoretical density 5.41 g/cm³. Number 18: M_tot 0.0000 μB per atom, theoretical density 8.52 g/cm³. Number 19: M_tot 0.0000 μB per atom, theoretical density 4.73 g/cm³. Number 20: M_tot 0.3867 μB per atom, theoretical density 10.70 g/cm³.